## Tb2Dy5Mg2 (PBE)

Data for a relaxed structure of Tb2Dy5Mg2.

Output
The energy relative to the elements is 1.89 kJ per mole of atoms.

Geometry as CIF:
```
data_Tb2Dy5Mg2
_chemical_formula_sum 'Tb2 Dy5 Mg2'
_symmetry_space_group_name_H-M 'P -1'
_symmetry_Int_Tables_number 2
_cell_length_a 3.5267
_cell_length_b 9.1650
_cell_length_c 9.2842
_cell_angle_alpha 67.81
_cell_angle_beta 79.09
_cell_angle_gamma 78.95
loop_
_symmetry_equiv_pos_as_xyz
'x,y,z'
'-x,-y,-z'
loop_
_atom_site_label
_atom_site_type_symbol
_atom_site_fract_x
_atom_site_fract_y
_atom_site_fract_z
Tb1 Tb 0.2213 0.3850 0.1718
Dy1 Dy 0.0000 0.5000 0.5000
Dy2 Dy 0.1095 0.9502 0.8317
Dy3 Dy 0.4415 0.2802 0.8367
Mg1 Mg 0.3301 0.8410 0.4974
```

---

## Ho4Pt2O (PBE)

Data for a relaxed structure of Ho4Pt2O.

Output
The uncorrected formation energy is -10.92 eV per formula unit.

Geometry as CIF:
```
data_Ho4Pt2O
_chemical_formula_sum 'Ho8 Pt4 O2'
_symmetry_space_group_name_H-M 'I 4/m m m'
_symmetry_Int_Tables_number 139
_symmetry_space_group_name_Hall '-I 4 2'
_cell_length_a 4.5685
_cell_length_b 4.5685
_cell_length_c 14.5524
_cell_angle_alpha 90.00
_cell_angle_beta 90.00
_cell_angle_gamma 90.00
loop_
_atom_site_label
_atom_site_type_symbol
_atom_site_fract_x
_atom_site_fract_y
_atom_site_fract_z
Ho1 Ho 0.0000 0.0000 0.1829
Ho2 Ho 0.0000 0.5000 0.0000
Pt1 Pt 0.0000 0.0000 0.3709
O1 O 0.0000 0.0000 0.0000
```

---

## Tb2Tm4Te9 (PBE)

Data for a relaxed structure of Tb2Tm4Te9.

Output
The uncorrected formation energy is -20.14 eV per formula unit.

Geometry as CIF:
```
data_Tb2Tm4Te9
_chemical_formula_sum 'Tb4 Tm8 Te18'
_symmetry_space_group_name_H-M 'P -3 c 1'
_symmetry_Int_Tables_number 165
_symmetry_space_group_name_Hall '-P 3 2"c'
_cell_length_a 7.6408
_cell_length_b 7.6408
_cell_length_c 20.9426
_cell_angle_alpha 90.00
_cell_angle_beta 90.00
_cell_angle_gamma 120.00
loop_
_atom_site_label
_atom_site_type_symbol
_atom_site_fract_x
_atom_site_fract_y
_atom_site_fract_z
Tb1 Tb 0.0000 0.0000 0.1567
Tm1 Tm 0.3333 0.6667 0.1756
Tm2 Tm 0.3333 0.6667 0.4912
Te1 Te 0.0000 0.3186 0.2500
Te2 Te 0.0183 0.3564 0.5831
```

---

## Li2CdSb (PBE)

Data for a relaxed structure of Li2CdSb.

Output
The uncorrected formation energy is -1.53 eV per formula unit. The energy above the most stable polymorph in this dataset is 0.08 eV per formula unit.

Geometry as CIF:
```
data_Li2CdSb
_chemical_formula_sum 'Li2 Cd1 Sb1'
_symmetry_space_group_name_H-M 'P 1 m 1'
_symmetry_Int_Tables_number 6
_cell_length_a 3.2883
_cell_length_b 4.8314
_cell_length_c 4.9997
_cell_angle_alpha 90.00
_cell_angle_beta 90.00
_cell_angle_gamma 90.00
loop_
_symmetry_equiv_pos_as_xyz
'x,y,z'
'x,-y,z'
loop_
_atom_site_label
_atom_site_type_symbol
_atom_site_fract_x
_atom_site_fract_y
_atom_site_fract_z
Li1 Li 0.0000 0.0000 0.0000
Li2 Li 0.9999 0.5000 0.4008
Cd1 Cd 0.5013 0.0000 0.4914
Sb1 Sb 0.4997 0.5000 0.9058
```

---

## GdZnInNi (PBE)

Data for a relaxed structure of GdZnInNi.

Output
The energy relative to the elements is -32.28 kJ per mole of atoms.

Geometry as CIF:
```
data_GdZnInNi
_chemical_formula_sum 'Gd4 Zn4 In4 Ni4'
_symmetry_space_group_name_H-M 'F -4 3 m'
_symmetry_Int_Tables_number 216
_symmetry_space_group_name_Hall 'F -4 2 3'
_cell_length_a 6.7050
_cell_length_b 6.7050
_cell_length_c 6.7050
_cell_angle_alpha 90.00
_cell_angle_beta 90.00
_cell_angle_gamma 90.00
loop_
_atom_site_label
_atom_site_type_symbol
_atom_site_fract_x
_atom_site_fract_y
_atom_site_fract_z
Gd1 Gd 0.0000 0.0000 0.0000
Zn1 Zn 0.2500 0.2500 0.7500
In1 In 0.0000 0.0000 0.5000
Ni1 Ni 0.2500 0.2500 0.2500
```

---

## LaNdMg (PBE)

Data for a relaxed structure of LaNdMg.

Output
The energy relative to the elements is -5.17 kJ per mole of atoms. The energy above the most stable polymorph in this dataset is 0.00 eV per formula unit.

Geometry as CIF:
```
data_LaNdMg
_chemical_formula_sum 'La2 Nd2 Mg2'
_symmetry_space_group_name_H-M 'I 4 m m'
_symmetry_Int_Tables_number 107
_symmetry_space_group_name_Hall 'I 4 -2'
_cell_length_a 3.8676
_cell_length_b 3.8676
_cell_length_c 13.0726
_cell_angle_alpha 90.00
_cell_angle_beta 90.00
_cell_angle_gamma 90.00
loop_
_atom_site_label
_atom_site_type_symbol
_atom_site_fract_x
_atom_site_fract_y
_atom_site_fract_z
La1 La 0.0000 0.0000 0.0000
Nd1 Nd 0.0000 0.0000 0.6900
Mg1 Mg 0.0000 0.0000 0.3401
```